# PBE Tl7CdIn4, relaxed
# - DFT formation energy: 0.029 eV per atom
# - Calculated total energy: -28.1 eV per cell
data_Tl7CdIn4
_cell_length_a 5.5332
_cell_length_b 5.5332
_cell_length_c 13.1946
_cell_angle_alpha 90.00
_cell_angle_beta 90.00
_cell_angle_gamma 120.00
_symmetry_space_group_name_H-M 'P -3 m 1'
_symmetry_Int_Tables_number 164
_symmetry_space_group_name_Hall '-P 3 2"'
loop_
_atom_site_label
_atom_site_fract_x
_atom_site_fract_y
_atom_site_fract_z
Tl1 0.0000 0.0000 0.0000
Tl2 0.0000 0.0000 0.2585
Tl3 0.3333 0.6667 0.1639
Tl4 0.3333 0.6667 0.4180
Cd1 0.0000 0.0000 0.5000
In1 0.3333 0.6667 0.6687
In2 0.3333 0.6667 0.9131


# PBE TlCd5In, relaxed
# - DFT formation energy: 0.079 eV per atom
# - Calculated total energy: -9.1 eV per cell
data_TlCd5In
_cell_length_a 4.506
_cell_length_b 4.506
_cell_length_c 9.045
_cell_angle_alpha 90.00
_cell_angle_beta 90.00
_cell_angle_gamma 90.00
_symmetry_space_group_name_H-M 'P 4/m m m'
_symmetry_Int_Tables_number 123
_symmetry_space_group_name_Hall '-P 4 2'
loop_
_atom_site_label
_atom_site_fract_x
_atom_site_fract_y
_atom_site_fract_z
Tl1 0.000 0.000 0.000
Cd1 0.000 0.000 0.500
Cd2 0.000 0.500 0.245
In1 0.500 0.500 0.500


# PBE Tl3Cd4In, relaxed
# - DFT formation energy: 0.083 eV per atom
# - Calculated total energy: -25.7 eV per cell
data_Tl3Cd4In
_cell_length_a 6.361
_cell_length_b 14.003
_cell_length_c 4.968
_cell_angle_alpha 90.00
_cell_angle_beta 90.00
_cell_angle_gamma 90.00
_symmetry_space_group_name_H-M 'P m n 21'
_symmetry_Int_Tables_number 31
loop_
_symmetry_equiv_pos_as_xyz
'x,y,z'
'-x+1/2,-y,z+1/2'
'-x,y,z'
'x+1/2,-y,z+1/2'
loop_
_atom_site_label
_atom_site_fract_x
_atom_site_fract_y
_atom_site_fract_z
Tl1 0.000 0.057 0.000
Tl2 0.250 0.428 0.499
Cd1 0.000 0.203 0.500
Cd2 0.000 0.793 0.999
Cd3 0.246 0.285 0.999
In1 0.000 0.924 0.500


# PBE TlCd2In, relaxed
# - DFT formation energy: 0.100 eV per atom
# - Calculated total energy: -26.1 eV per cell
# - Distance to the lowest polymorph of the same formula: 77.3 meV per atom
data_TlCd2In
_cell_length_a 7.527
_cell_length_b 7.527
_cell_length_c 7.527
_cell_angle_alpha 90.00
_cell_angle_beta 90.00
_cell_angle_gamma 90.00
_symmetry_space_group_name_H-M 'F -4 3 m'
_symmetry_Int_Tables_number 216
_symmetry_space_group_name_Hall 'F -4 2 3'
loop_
_atom_site_label
_atom_site_fract_x
_atom_site_fract_y
_atom_site_fract_z
Tl1 0.000 0.000 0.000
Cd1 0.000 0.000 0.500
Cd2 0.250 0.250 0.250
In1 0.250 0.250 0.750


# PBE Tl5Cd2In, relaxed
# - DFT formation energy: 0.049 eV per atom
# - Calculated total energy: -32.0 eV per cell
data_Tl5Cd2In
_cell_length_a 5.054
_cell_length_b 5.054
_cell_length_c 17.979
_cell_angle_alpha 90.00
_cell_angle_beta 90.00
_cell_angle_gamma 90.00
_symmetry_space_group_name_H-M 'I 4/m m m'
_symmetry_Int_Tables_number 139
_symmetry_space_group_name_Hall '-I 4 2'
loop_
_atom_site_label
_atom_site_fract_x
_atom_site_fract_y
_atom_site_fract_z
Tl1 0.000 0.000 0.000
Tl2 0.000 0.500 0.133
Cd1 0.000 0.000 0.250
In1 0.000 0.000 0.500


# PBE TlCd11In, relaxed
# - DFT formation energy: 0.041 eV per atom
# - Calculated total energy: -29.3 eV per cell
data_TlCd11In
_cell_length_a 6.163
_cell_length_b 14.394
_cell_length_c 7.803
_cell_angle_alpha 90.00
_cell_angle_beta 112.84
_cell_angle_gamma 90.00
_symmetry_space_group_name_H-M 'C 1 2/m 1'
_symmetry_Int_Tables_number 12
loop_
_symmetry_equiv_pos_as_xyz
'x,y,z'
'-x,-y,-z'
'-x,y,-z'
'x,-y,z'
'x+1/2,y+1/2,z'
'-x+1/2,-y+1/2,-z'
'-x+1/2,y+1/2,-z'
'x+1/2,-y+1/2,z'
loop_
_atom_site_label
_atom_site_fract_x
_atom_site_fract_y
_atom_site_fract_z
Tl1 0.000 0.000 0.000
Cd1 0.000 0.500 0.500
Cd2 0.103 0.392 0.213
Cd3 0.183 0.177 0.351
Cd4 0.250 0.250 0.000
In1 0.000 0.000 0.500


# PBE TlCd3In3, relaxed
# - DFT formation energy: 0.053 eV per atom
# - Calculated total energy: -25.9 eV per cell
# - Distance to the lowest polymorph of the same formula: 3.2 meV per atom
data_TlCd3In3
_cell_length_a 9.3169
_cell_length_b 9.3169
_cell_length_c 4.9225
_cell_angle_alpha 90.00
_cell_angle_beta 90.00
_cell_angle_gamma 120.00
_symmetry_space_group_name_H-M 'P 63/m'
_symmetry_Int_Tables_number 176
_symmetry_space_group_name_Hall '-P 6c'
loop_
_atom_site_label
_atom_site_fract_x
_atom_site_fract_y
_atom_site_fract_z
Tl1 0.3333 0.6667 0.2500
Cd1 0.0361 0.8134 0.2500
In1 0.0852 0.6319 0.7500


# PBE Tl8Cd2In, relaxed
# - DFT formation energy: 0.104 eV per atom
# - Calculated total energy: -44.7 eV per cell
# - Distance to the lowest polymorph of the same formula: 51.7 meV per atom
data_Tl8Cd2In
_cell_length_a 13.474
_cell_length_b 10.052
_cell_length_c 5.426
_cell_angle_alpha 90.00
_cell_angle_beta 102.53
_cell_angle_gamma 90.00
_symmetry_space_group_name_H-M 'C 1 2/m 1'
_symmetry_Int_Tables_number 12
loop_
_symmetry_equiv_pos_as_xyz
'x,y,z'
'-x,-y,-z'
'-x,y,-z'
'x,-y,z'
'x+1/2,y+1/2,z'
'-x+1/2,-y+1/2,-z'
'-x+1/2,y+1/2,-z'
'x+1/2,-y+1/2,z'
loop_
_atom_site_label
_atom_site_fract_x
_atom_site_fract_y
_atom_site_fract_z
Tl1 0.081 0.226 0.295
Tl2 0.107 0.000 0.809
Tl3 0.244 0.500 0.609
Cd1 0.128 0.500 0.040
In1 0.000 0.500 0.500